# 1
Compound: CsBaCd4
Source: Alexandria via LeMat-Bulk
Functional: PBE
Structure: relaxed

Output
**Size of the total moment**: 0.0 μB/cell
**Electronic total energy**: -1.178 eV per atom

a = 6.573 Å, b = 6.573 Å, c = 6.573 Å
α = 60.00°, β = 60.00°, γ = 60.00°
Fractional coordinates of all 6 atoms:
1 Cs 0.250 0.250 0.250
2 Ba 0.000 0.000 0.000
3 Cd 0.626 0.626 0.123
4 Cd 0.626 0.123 0.626
5 Cd 0.626 0.626 0.626
6 Cd 0.123 0.626 0.626

# 2
Compound: CsBa3Cd
Source: Alexandria via LeMat-Bulk
Functional: PBE
Structure: relaxed

Output
**Size of the total moment**: 0.0 μB/cell
**Energy above the most stable polymorph in this dataset**: 690.6 meV/atom

a = 6.552 Å, b = 6.552 Å, c = 6.552 Å
α = 90.00°, β = 90.00°, γ = 90.00°
Fractional coordinates of all 5 atoms:
1 Cs 0.000 0.000 0.000
2 Ba 0.000 0.500 0.000
3 Ba 0.000 0.000 0.500
4 Ba 0.500 0.000 0.000
5 Cd 0.500 0.500 0.500

# 3
Compound: CsBaCd3
Source: Alexandria via LeMat-Bulk
Functional: PBE
Structure: relaxed

Output
**Size of the total moment**: 0.0 μB/cell
**Energy above the most stable polymorph in this dataset**: 0.0 meV/atom

a = 5.250 Å, b = 4.573 Å, c = 17.472 Å
α = 97.52°, β = 90.00°, γ = 90.00°
Fractional coordinates of all 10 atoms:
1 Cs 0.250 0.799 0.599
2 Cs 0.750 0.201 0.401
3 Ba 0.250 0.063 0.126
4 Ba 0.750 0.937 0.874
5 Cd 0.250 0.393 0.785
6 Cd 0.750 0.607 0.215
7 Cd 0.250 0.479 0.958
8 Cd 0.750 0.521 0.042
9 Cd 0.750 0.353 0.705
10 Cd 0.250 0.647 0.295